MgCo2F GGA+U relaxed; distance to the lowest polymorph of the same formula = 0 meV per atom
1.0
4.7699 0.0000 0.0000
0.0000 4.7699 0.0000
2.3849 2.3849 6.7725
Co F Mg
4 2 2
direct
0.3757 0.6250 0.2500 Co
0.3743 0.1250 0.2500 Co
0.3750 0.6257 0.7500 Co
0.8750 0.6243 0.7500 Co
0.2500 0.7500 0.5000 F
0.5000 0.5000 0.0000 F
0.0000 0.0000 0.0000 Mg
0.7500 0.2500 0.5000 Mg